12
Lattice="3.9444 0.0000 0.0000 0.0000 5.3711 0.0000 0.0000 0.0000 7.8004" Properties=species:S:1:pos:R:3 comment="AcHo2UO8, relaxed, DFT GGA-PBE" total_energy_ev_per_atom=-8.6043 dos_at_fermi_per_ev_cell=1.6 sg="Pmmm (47)" e_form_raw_ev_per_atom=-3.2528 m_tot_mub_per_atom=0.0807 vol_a3_per_fu=165 pbc="T T T"
Ac 0.0000 0.0000 0.0000
Ho 1.9722 2.6856 2.1093
Ho 1.9722 2.6856 5.6911
U 0.0000 0.0000 3.9002
O 0.0000 1.3207 2.2129
O 0.0000 1.3207 5.5875
O 0.0000 4.0504 2.2129
O 0.0000 4.0504 5.5875
O 1.9722 1.2504 3.9002
O 1.9722 1.5559 0.0000
O 1.9722 3.8152 0.0000
O 1.9722 4.1207 3.9002